TlTcAuO2: relaxed, PBE.

- raw formation energy (eV/f.u.) = -3.370
- D(E_F) (states/eV/atom) = 0.21
- DFT total energy (eV/atom) = -5.86
- crystal system = tetragonal

The structure in POSCAR format:
```
TlTcAuO2
1.0
-0.219 -3.838 0.494
-0.358 -0.473 -3.830
5.628 -0.383 -0.479
Tl O Tc Au
1 2 1 1
Direct
0.500 0.500 0.500 Tl
0.500 0.000 0.000 O
0.000 0.500 0.000 O
0.000 0.000 0.000 Tc
0.000 0.000 0.500 Au
```